A relaxed structure of Y3Tm4Tl2. Source: the Alexandria database, functional GGA-PBE.

Results
Magnetic moment = 0.00 Bohr magnetons per cell
Electronic total energy = -4.8283 eV per atom
Energy of formation from the pure elements = -160.4 meV per atom
Space-group type = C2/m, No. 12
Volume = 29.307 A^3/atom

a = 6.5472 Å, b = 6.5472 Å, c = 10.1540 Å
α = 122.02°, β = 122.02°, γ = 48.09°
Last column: nearest neighbours and their distance in Å.
Sites, in units of the cell vectors:
Y1 0.0000 0.0000 0.0000  4 Tl 3.44, 2 Y 3.54, 8 Tm 3.58-3.77
Y2 0.3541 0.3541 0.3209  1 Tl 3.24, 2 Y 3.27-3.54, 7 Tm 3.33-3.61
Y3 0.6459 0.6459 0.6791  1 Tl 3.24, 2 Y 3.27-3.54, 7 Tm 3.33-3.61
Tm1 0.0962 0.0962 0.4255  3 Tl 3.14-3.22, 1 Tm 3.41, 2 Y 3.51
Tm2 0.2685 0.2685 0.9208  2 Tl 3.11-3.35, 2 Tm 3.27, 2 Y 3.33
Tm3 0.7315 0.7315 0.0792  2 Tl 3.11-3.35, 2 Tm 3.27, 2 Y 3.33
Tm4 0.9038 0.9038 0.5745  3 Tl 3.14-3.22, 1 Tm 3.41, 2 Y 3.51
Tl1 0.4093 0.4093 0.7421  5 Tm 3.11-3.35, 3 Y 3.24-3.44
Tl2 0.5907 0.5907 0.2579  5 Tm 3.11-3.35, 3 Y 3.24-3.44